Here is an optimized crystal structure of AlInSb2 from Alexandria. Energies are from PBE-GGA.

The crystal system is tetragonal. The uncorrected formation energy is 0.198 eV per atom. As for the energy above the most stable polymorph in this dataset: 340 meV per atom. For the total DFT energy (no corrections), the calculation gives -3.48 eV/atom. Its density is 6263 kg/m³.

a b c (Å): 3.7145 3.7145 7.4041
angles (deg): 90.00 90.00 90.00
Space group P4mm (No. 99)
Unique sites:
Al 0.0000 0.0000 0.0000
In 0.5000 0.5000 0.2554
Sb 0.0000 0.0000 0.5469
Sb 0.5000 0.5000 0.7950